# Ca2PmY4, optimized geometry, DFT GGA-PBE
# Formation energy = 68 meV/atom
# Calculated total energy = -68.27 eV per cell
# Size of the total moment = 0.00 μB per formula unit
data_Ca2PmY4
_chemical_formula_sum 'Ca4 Pm2 Y8'
_cell_length_a 3.6616
_cell_length_b 37.4829
_cell_length_c 3.6129
_cell_angle_alpha 90.00
_cell_angle_beta 90.00
_cell_angle_gamma 90.00
_symmetry_space_group_name_H-M 'C m m m'
_symmetry_Int_Tables_number 65
_symmetry_space_group_name_Hall '-C 2 2'
loop_
_atom_site_label
_atom_site_type_symbol
_atom_site_fract_x
_atom_site_fract_y
_atom_site_fract_z
Ca1 Ca 0.0000 0.2057 0.0000
Pm1 Pm 0.0000 0.5000 0.5000
Y1 Y 0.0000 0.0682 0.0000
Y2 Y 0.0000 0.3672 0.5000